Computed, not measured: LaY2Zn after structural relaxation at the GGA-PBE level of DFT.

Unit cell a=4.8307 b=4.8307 c=4.8801 alpha=90.00 beta=90.00 gamma=90.00
Last column: nearest neighbours and their distance in Å.
Fractional positions:
La: 0.0000 0.0000 0.0000  4 Zn 3.42, 8 Y 3.43
Y: 0.0000 0.5000 0.5000  4 Y 3.42, 4 La 3.43, 4 Zn 3.43
Y: 0.5000 0.0000 0.5000  4 Y 3.42, 4 La 3.43, 4 Zn 3.43
Zn: 0.5000 0.5000 0.0000  4 La 3.42, 8 Y 3.43

The calculation puts the formation energy at -2 kJ/mol of atoms. Its total DFT energy (no corrections) is -4.801 eV/atom. The energy above the lowest structure with this stoichiometry comes out at 148 meV per atom. For the size of the total moment, the calculation gives 0.0 μB per formula unit. The density of states at the Fermi level comes out at 5.8 states/eV/f.u.

Computed, not measured: La2YZn2 after structural relaxation at the GGA-PBE level of DFT.

Unit cell a=10.2117 b=10.2117 c=3.6267 alpha=90.00 beta=90.00 gamma=159.25
Last column: nearest neighbours and their distance in Å.
Fractional positions:
La: 0.1802 0.8198 0.0000  4 Zn 3.25, 4 La 3.35-3.63, 1 Y 3.62
La: 0.8198 0.1802 0.0000  4 Zn 3.25, 4 La 3.35-3.63, 1 Y 3.62
Y: 0.0000 0.0000 0.0000  8 Zn 3.06
Zn: 0.4182 0.5818 0.5000  4 Y 3.06, 4 La 3.25, 1 Zn 3.28
Zn: 0.5818 0.4182 0.5000  4 Y 3.06, 4 La 3.25, 1 Zn 3.28

The calculation puts the formation energy at -21 kJ/mol of atoms. Its total DFT energy (no corrections) is -3.992 eV/atom. The energy above the lowest structure with this stoichiometry comes out at 0 meV per atom. For the size of the total moment, the calculation gives 0.0 μB per formula unit. The density of states at the Fermi level comes out at 5.2 states/eV/f.u.

Computed, not measured: LaY2Zn9 after structural relaxation at the GGA-PBE level of DFT.

Unit cell a=9.1986 b=9.1986 c=9.1986 alpha=34.90 beta=34.90 gamma=34.90
Last column: nearest neighbours and their distance in Å.
Fractional positions:
La: 0.0000 0.0000 0.0000  18 Zn 3.19-3.50
Y: 0.1414 0.1414 0.1414  12 Zn 3.14-3.25, 3 Y 3.44
Y: 0.8586 0.8586 0.8586  12 Zn 3.14-3.25, 3 Y 3.44
Zn: 0.0764 0.5870 0.5870  7 Zn 2.66-2.82
Zn: 0.3353 0.3353 0.3353  6 Zn 2.66-2.71
Zn: 0.4130 0.4130 0.9236  7 Zn 2.66-2.82
Zn: 0.4130 0.9236 0.4130  7 Zn 2.66-2.82
Zn: 0.5000 0.5000 0.5000  6 Zn 2.70
Zn: 0.5870 0.0764 0.5870  7 Zn 2.66-2.82
Zn: 0.5870 0.5870 0.0764  7 Zn 2.66-2.82
Zn: 0.6647 0.6647 0.6647  6 Zn 2.66-2.71
Zn: 0.9236 0.4130 0.4130  7 Zn 2.66-2.82

The calculation puts the formation energy at -32 kJ/mol of atoms. Its total DFT energy (no corrections) is -2.777 eV/atom. For the size of the total moment, the calculation gives 0.0 μB per formula unit. The density of states at the Fermi level comes out at 8.3 states/eV/f.u.

Computed, not measured: LaYZn2 after structural relaxation at the GGA-PBE level of DFT.

Unit cell a=6.1680 b=6.1680 c=6.1680 alpha=146.12 beta=131.58 gamma=60.40
Last column: nearest neighbours and their distance in Å.
Fractional positions:
La: 0.0000 0.0000 0.0000  6 Zn 3.15-3.37, 4 Y 3.44-3.49
Y: 0.7192 0.2192 0.5000  8 Zn 3.15-3.50, 4 La 3.44-3.49
Zn: 0.2679 0.7679 0.5000  2 Zn 2.62
Zn: 0.4464 0.4464 0.0000  2 Zn 2.62

The calculation puts the formation energy at -23 kJ/mol of atoms. Its total DFT energy (no corrections) is -3.727 eV/atom. The energy above the lowest structure with this stoichiometry comes out at 86 meV per atom. For the size of the total moment, the calculation gives 0.0 μB per formula unit. The density of states at the Fermi level comes out at 3.1 states/eV/f.u.

Computed, not measured: LaY2Zn after structural relaxation at the GGA-PBE level of DFT.

Unit cell a=6.0463 b=6.0463 c=6.0463 alpha=133.56 beta=133.56 gamma=67.78
Last column: nearest neighbours and their distance in Å.
Fractional positions:
La: 0.0000 0.0000 0.0000  4 Zn 3.37, 8 Y 3.46
Y: 0.2500 0.7500 0.5000  4 Y 3.37, 4 La 3.46, 4 Zn 3.46
Y: 0.7500 0.2500 0.5000  4 Y 3.37, 4 La 3.46, 4 Zn 3.46
Zn: 0.5000 0.5000 0.0000  4 La 3.37, 8 Y 3.46

The calculation puts the formation energy at 2 kJ/mol of atoms. Its total DFT energy (no corrections) is -4.761 eV/atom. The energy above the lowest structure with this stoichiometry comes out at 188 meV per atom. For the size of the total moment, the calculation gives 0.0 μB per formula unit. The density of states at the Fermi level comes out at 5.3 states/eV/f.u.

Computed, not measured: LaY2Zn after structural relaxation at the GGA-PBE level of DFT.

Unit cell a=3.7918 b=5.4534 c=5.6071 alpha=90.00 beta=90.00 gamma=90.00
Last column: nearest neighbours and their distance in Å.
Fractional positions:
La: 0.0000 0.0000 0.0000  4 Y 3.32, 4 Zn 3.38
Y: 0.0000 0.5000 0.5000  4 Zn 3.32, 4 Y 3.38
Y: 0.5000 0.5000 0.0000  4 La 3.32, 4 Y 3.38
Zn: 0.5000 0.0000 0.5000  4 Y 3.32, 4 La 3.38

The calculation puts the formation energy at 0 kJ/mol of atoms. Its total DFT energy (no corrections) is -4.784 eV/atom. The energy above the lowest structure with this stoichiometry comes out at 165 meV per atom. For the size of the total moment, the calculation gives 0.0 μB per formula unit. The density of states at the Fermi level comes out at 5.7 states/eV/f.u.

Computed, not measured: LaY2Zn after structural relaxation at the GGA-PBE level of DFT.

Unit cell a=6.6828 b=6.6828 c=6.6828 alpha=147.51 beta=133.06 gamma=58.25
Last column: nearest neighbours and their distance in Å.
Fractional positions:
La: 0.0000 0.0000 0.0000  2 Zn 3.21, 4 Y 3.38
Y: 0.4212 0.4212 0.0000  2 Zn 2.97
Y: 0.7100 0.2100 0.5000  4 Zn 3.26, 2 La 3.62, 2 Y 3.63
Zn: 0.2231 0.7231 0.5000  6 Y 2.97-3.26, 2 La 3.21

The calculation puts the formation energy at -12 kJ/mol of atoms. Its total DFT energy (no corrections) is -4.908 eV/atom. The energy above the lowest structure with this stoichiometry comes out at 40 meV per atom. For the size of the total moment, the calculation gives 0.0 μB per formula unit. The density of states at the Fermi level comes out at 4.1 states/eV/f.u.

Computed, not measured: LaY2Zn3 after structural relaxation at the GGA-PBE level of DFT.

Unit cell a=3.6280 b=3.6280 c=10.9970 alpha=90.00 beta=90.00 gamma=90.00
Last column: nearest neighbours and their distance in Å.
Fractional positions:
La: 0.0000 0.0000 0.0000  8 Zn 3.28, 4 La 3.63
Y: 0.0000 0.0000 0.3387  8 Zn 3.07-3.12
Y: 0.0000 0.0000 0.6613  8 Zn 3.07-3.12
Zn: 0.5000 0.5000 0.1852  4 Y 3.07, 4 La 3.28
Zn: 0.5000 0.5000 0.5000  8 Y 3.12, 2 Zn 3.46
Zn: 0.5000 0.5000 0.8148  4 Y 3.07, 4 La 3.28

The calculation puts the formation energy at -32 kJ/mol of atoms. Its total DFT energy (no corrections) is -3.947 eV/atom. For the size of the total moment, the calculation gives 0.0 μB per formula unit. The density of states at the Fermi level comes out at 7.2 states/eV/f.u.

Computed, not measured: LaYZn2 after structural relaxation at the GGA-PBE level of DFT.

Unit cell a=6.6680 b=6.6680 c=6.6680 alpha=107.56 beta=107.56 gamma=113.36
Last column: nearest neighbours and their distance in Å.
Fractional positions:
La: 0.0000 0.0000 0.0000  4 Zn 3.01
La: 0.7500 0.2500 0.5000  4 Zn 3.01
Y: 0.2500 0.7500 0.5000  4 Zn 2.86
Y: 0.5000 0.5000 0.0000  4 Zn 2.86
Zn: 0.1395 0.1250 0.5145  2 Y 2.86, 2 La 3.01
Zn: 0.3750 0.8605 0.9855  2 Y 2.86, 2 La 3.01
Zn: 0.6105 0.6250 0.4855  2 Y 2.86, 2 La 3.01
Zn: 0.8750 0.3895 0.0145  2 Y 2.86, 2 La 3.01

The calculation puts the formation energy at 7 kJ/mol of atoms. Its total DFT energy (no corrections) is -3.414 eV/atom. The energy above the lowest structure with this stoichiometry comes out at 399 meV per atom. For the size of the total moment, the calculation gives 0.0 μB per formula unit. The density of states at the Fermi level comes out at 6.3 states/eV/f.u.

Computed, not measured: LaY2Zn after structural relaxation at the GGA-PBE level of DFT.

Unit cell a=10.6315 b=10.6315 c=10.6315 alpha=19.85 beta=19.85 gamma=19.85
Last column: nearest neighbours and their distance in Å.
Fractional positions:
La: 0.0000 0.0000 0.0000  6 La 3.66, 6 Y 3.70-3.75
Y: 0.5676 0.5676 0.5676  3 Zn 3.02
Y: 0.7638 0.7638 0.7638  3 Zn 3.00
Zn: 0.1654 0.1654 0.1654  6 Y 3.00-3.02

The calculation puts the formation energy at -6 kJ/mol of atoms. Its total DFT energy (no corrections) is -4.841 eV/atom. The energy above the lowest structure with this stoichiometry comes out at 107 meV per atom. For the size of the total moment, the calculation gives 0.0 μB per formula unit. The density of states at the Fermi level comes out at 4.7 states/eV/f.u.